(1)
Computed, not measured: a relaxed K3Pb crystal at the PBE level of DFT.

Cell and atoms, written as extended XYZ:
```
4
Lattice="3.075 -3.081 0.000 3.075 3.081 0.000 0.000 0.000 10.883" Properties=species:S:1:pos:R:3 pbc="T T T"
K 0.000 0.000 0.000
K 3.075 0.000 3.383
K 3.075 0.000 7.500
Pb 0.000 0.000 5.442
```

Energy, eV/atom: -1.76
Space group: Cmmm (65)

(2)
Computed, not measured: a relaxed KPb2 crystal at the PBE level of DFT.

Cell and atoms, written as extended XYZ:
```
9
Lattice="8.286 0.000 0.000 -4.143 7.176 0.000 0.000 0.000 5.682" Properties=species:S:1:pos:R:3 pbc="T T T"
K 0.000 0.000 0.000
K 0.000 4.784 2.841
K 4.143 2.392 2.841
Pb -0.928 1.608 2.841
Pb -1.877 3.250 0.000
Pb 1.857 0.000 2.841
Pb 3.753 0.000 0.000
Pb 2.266 3.925 0.000
Pb 3.215 5.568 2.841
```

Energy, eV/atom: -2.76
Space group: P-62m (189)

(3)
Computed, not measured: a relaxed KPb2 crystal at the PBE level of DFT.

Cell and atoms, written as extended XYZ:
```
6
Lattice="6.873 -1.817 0.000 6.873 1.817 0.000 -0.346 0.000 8.959" Properties=species:S:1:pos:R:3 pbc="T T T"
K 0.000 0.000 0.000
K 10.171 0.000 2.859
Pb 1.115 0.000 5.586
Pb 5.045 0.000 5.973
Pb 6.530 0.000 3.144
Pb 9.811 0.000 7.855
```

Energy, eV/atom: -2.89
Space group: Cm (8)

(4)
Computed, not measured: a relaxed K5Pb3 crystal at the PBE level of DFT.

Cell and atoms, written as extended XYZ:
```
8
Lattice="5.442 -5.944 0.000 5.442 5.944 0.000 0.000 0.000 5.088" Properties=species:S:1:pos:R:3 pbc="T T T"
K 0.000 0.000 0.000
K 2.721 2.972 0.000
K 5.442 2.745 2.544
K 2.721 -2.972 0.000
K 5.442 -2.745 2.544
Pb 3.028 0.000 2.544
Pb 5.442 0.000 0.000
Pb 7.856 0.000 2.544
```

Energy, eV/atom: -2.09
Space group: Cmmm (65)

(5)
Computed, not measured: a relaxed K4Pb crystal at the PBE level of DFT.

Cell and atoms, written as extended XYZ:
```
30
Lattice="10.258 -8.705 0.000 10.258 8.705 0.000 -8.164 0.000 10.738" Properties=species:S:1:pos:R:3 pbc="T T T"
K 1.047 4.352 5.369
K 6.039 6.599 2.302
K 0.330 5.001 9.916
K 4.135 6.764 8.054
K -0.603 0.519 6.532
K 4.874 2.709 3.815
K 10.396 6.599 3.067
K 3.479 -0.519 1.163
K 7.940 5.001 6.191
K 7.494 0.818 0.559
K 3.412 -0.818 5.928
K 11.560 2.709 1.554
K 5.129 -4.352 0.000
K 0.792 -2.709 9.184
K 8.941 0.818 4.810
K 4.858 -0.818 10.179
K 4.413 -5.001 4.547
K 8.874 0.519 9.575
K 1.957 -6.599 7.671
K 7.478 -2.709 6.923
K 12.956 -0.519 4.206
K 8.217 -6.764 2.685
K 12.022 -5.001 0.822
K 6.313 -6.599 8.436
Pb 1.478 1.263 3.590
Pb -2.604 -1.263 8.959
Pb 8.217 3.705 2.685
Pb 4.135 -3.705 8.054
Pb 14.957 1.263 1.779
Pb 10.875 -1.263 7.149
```

Energy, eV/atom: -1.67
Space group: C2/c (15)

(6)
Computed, not measured: a relaxed KPb6 crystal at the PBE level of DFT.

Cell and atoms, written as extended XYZ:
```
7
Lattice="-4.336 4.336 4.336 4.336 -4.336 4.336 4.336 4.336 -4.336" Properties=species:S:1:pos:R:3 pbc="T T T"
K 0.000 0.000 0.000
Pb 4.336 2.168 0.000
Pb 4.336 0.000 2.168
Pb 2.168 4.336 0.000
Pb 2.168 0.000 4.336
Pb 0.000 4.336 2.168
Pb 0.000 2.168 4.336
```

Energy, eV/atom: -3.16
Space group: Im-3m (229)

(7)
Computed, not measured: a relaxed KPb2 crystal at the PBE level of DFT.

Cell and atoms, written as extended XYZ:
```
3
Lattice="0.000 2.766 7.022 2.747 0.000 7.022 2.747 2.766 0.000" Properties=species:S:1:pos:R:3 pbc="T T T"
K 0.000 0.000 0.000
Pb 2.747 2.766 4.399
Pb 2.747 2.766 9.645
```

Energy, eV/atom: -2.96
Space group: Fmmm (69)

(8)
Computed, not measured: a relaxed KPb2 crystal at the PBE level of DFT.

Cell and atoms, written as extended XYZ:
```
6
Lattice="7.212 -1.942 0.000 7.212 1.942 0.000 -2.286 0.000 7.633" Properties=species:S:1:pos:R:3 pbc="T T T"
K -0.443 0.000 2.006
K 12.581 0.000 5.627
Pb 3.538 0.000 2.892
Pb 2.501 0.000 7.115
Pb 9.638 0.000 0.518
Pb 8.600 0.000 4.740
```

Energy, eV/atom: -2.96
Space group: C2/m (12)

(9)
Computed, not measured: a relaxed K3Pb crystal at the PBE level of DFT.

Cell and atoms, written as extended XYZ:
```
4
Lattice="4.165 0.000 0.000 0.000 6.251 0.000 -1.344 0.000 7.298" Properties=species:S:1:pos:R:3 pbc="T T T"
K 0.000 0.000 0.000
K 0.098 3.125 5.228
K 2.724 3.125 2.070
Pb 1.411 0.000 3.649
```

Energy, eV/atom: -1.73
Space group: P2/m (10)

(10)
Computed, not measured: a relaxed KPb2 crystal at the PBE level of DFT.

Cell and atoms, written as extended XYZ:
```
6
Lattice="5.754 0.000 0.000 -2.877 4.983 0.000 0.000 0.000 7.090" Properties=species:S:1:pos:R:3 pbc="T T T"
K 0.000 3.322 1.773
K 2.877 1.661 5.318
Pb 0.000 0.000 0.000
Pb 0.000 0.000 3.545
Pb 0.000 3.322 5.318
Pb 2.877 1.661 1.773
```

Energy, eV/atom: -2.80
Space group: P6_3/mmc (194)

(11)
Computed, not measured: a relaxed KPb2 crystal at the PBE level of DFT.

Cell and atoms, written as extended XYZ:
```
3
Lattice="4.512 0.000 0.000 0.000 4.512 0.000 0.000 0.000 6.233" Properties=species:S:1:pos:R:3 pbc="T T T"
K 0.000 0.000 0.000
Pb 0.000 2.256 3.117
Pb 2.256 0.000 3.117
```

Energy, eV/atom: -2.81
Space group: P4/mmm (123)

(12)
Computed, not measured: a relaxed K3Pb crystal at the PBE level of DFT.

Cell and atoms, written as extended XYZ:
```
4
Lattice="2.138 1.234 13.605 -2.138 1.234 13.605 0.000 -2.468 13.605" Properties=species:S:1:pos:R:3 pbc="T T T"
K 0.000 0.000 0.000
K 0.000 0.000 9.508
K 0.000 0.000 31.307
Pb 0.000 0.000 20.407
```

Energy, eV/atom: -1.70
Space group: R-3m (166)

Per-record spin magnetization, μB per formula unit: 0.00; 0.00; 0.00; 0.00; 0.00; 0.00; 0.00; 0.00; 0.00; 0.00; 0.00; 0.00
Per-record energy relative to the elements, eV per atom: -0.0088; 0.0733; -0.0531; -0.0147; -0.0483; 0.1780; -0.1180; -0.1214; 0.0178; 0.0370; 0.0235; 0.0482